A plane-wave DFT calculation with PBE was carried out for La6PdPt4 after structural relaxation.

abc: 5.943 5.943 9.492
angles: 108.12 108.12 90.03
Fractional positions:
La  0.000  0.000  0.000
La  0.354  0.861  0.707
La  0.431  0.929  0.353
La  0.507  0.507  0.999
La  0.861  0.354  0.707
La  0.929  0.431  0.353
Pd  0.429  0.429  0.352
Pt  0.043  0.537  0.073
Pt  0.324  0.324  0.633
Pt  0.537  0.043  0.073
Pt  0.818  0.818  0.634

Values from the calculation:
Total energy in eV per atom: -6.3312
Total moment in μB per cell: 0.000

***

A plane-wave DFT calculation with PBE was carried out for LaPd10Pt2 after structural relaxation.

abc: 9.154 7.001 6.994
angles: 81.71 49.18 49.11
Fractional positions:
La  0.000  0.000  0.000
Pd  0.000  0.000  0.500
Pd  0.000  0.349  0.651
Pd  0.000  0.651  0.349
Pd  0.280  0.500  0.500
Pd  0.349  0.000  0.000
Pd  0.500  0.280  0.720
Pd  0.500  0.500  0.000
Pd  0.500  0.720  0.280
Pd  0.651  0.000  0.000
Pd  0.720  0.500  0.500
Pt  0.000  0.500  0.000
Pt  0.500  0.000  0.500

Values from the calculation:
Total energy in eV per atom: -5.5799
Total moment in μB per cell: 0.000

***

A plane-wave DFT calculation with PBE was carried out for La3Pd3Pt after structural relaxation.

abc: 10.306 10.306 10.306
angles: 157.68 155.42 33.44
Fractional positions:
La  0.000  0.000  0.000
La  0.364  0.364  0.000
La  0.686  0.186  0.500
Pd  0.114  0.614  0.500
Pd  0.525  0.525  0.000
Pd  0.840  0.840  0.000
Pt  0.249  0.749  0.500

Values from the calculation:
Total energy in eV per atom: -6.0920
Total moment in μB per cell: 0.000

***

A plane-wave DFT calculation with PBE was carried out for LaPd12Pt6 after structural relaxation.

abc: 7.555 7.555 7.555
angles: 109.47 109.47 109.47
Fractional positions:
La  0.000  0.000  0.000
Pd  0.083  0.265  0.819
Pd  0.181  0.446  0.265
Pd  0.181  0.917  0.735
Pd  0.265  0.181  0.446
Pd  0.265  0.819  0.083
Pd  0.446  0.265  0.181
Pd  0.554  0.735  0.819
Pd  0.735  0.181  0.917
Pd  0.735  0.819  0.554
Pd  0.819  0.083  0.265
Pd  0.819  0.554  0.735
Pd  0.917  0.735  0.181
Pt  0.144  0.500  0.644
Pt  0.356  0.856  0.500
Pt  0.500  0.356  0.856
Pt  0.500  0.644  0.144
Pt  0.644  0.144  0.500
Pt  0.856  0.500  0.356

Values from the calculation:
Total energy in eV per atom: -5.2773
Total moment in μB per cell: 2.605

***

A plane-wave DFT calculation with PBE was carried out for La5Pd2Pt5 after structural relaxation.

abc: 8.094 8.094 11.454
angles: 126.59 126.59 29.33
Fractional positions:
La  0.000  0.000  0.000
La  0.101  0.101  0.416
La  0.196  0.196  0.822
La  0.804  0.804  0.178
La  0.899  0.899  0.584
Pd  0.364  0.364  0.750
Pd  0.636  0.636  0.250
Pt  0.278  0.278  0.343
Pt  0.418  0.418  0.124
Pt  0.500  0.500  0.500
Pt  0.582  0.582  0.876
Pt  0.722  0.722  0.657

Values from the calculation:
Total energy in eV per atom: -6.4856
Total moment in μB per cell: 0.000

***

A plane-wave DFT calculation with PBE was carried out for La4PdPt3 after structural relaxation.

abc: 3.984 4.587 11.181
angles: 90.00 90.00 90.00
Fractional positions:
La  0.000  0.000  0.000
La  0.000  0.500  0.268
La  0.500  0.000  0.495
La  0.500  0.500  0.767
Pd  0.000  0.000  0.721
Pt  0.000  0.500  0.543
Pt  0.500  0.000  0.225
Pt  0.500  0.500  0.039

Values from the calculation:
Total energy in eV per atom: -6.4889
Total moment in μB per cell: 0.000

***

Among the records above, which one has the highest total energy?
LaPd12Pt6

***

Number 5 is which compound?
La5Pd2Pt5